--- a ---
# Tl5Ag (PBEsol, optimized geometry)
# Volume ... 156.4 Å³/cell
data_Tl5Ag
_chemical_formula_sum 'Tl5 Ag1'
_space_group_name_H-M_alt 'P -6 2 m'
_space_group_IT_number 189
_space_group_name_Hall 'P -6 -2'
_cell_length_a 5.9839
_cell_length_b 5.9839
_cell_length_c 5.0450
_cell_angle_alpha 90.00
_cell_angle_beta 90.00
_cell_angle_gamma 120.00
loop_
_atom_site_label
_atom_site_type_symbol
_atom_site_fract_x
_atom_site_fract_y
_atom_site_fract_z
Tl1 Tl 0.0000 0.6885 0.0000
Tl2 Tl 0.3333 0.6667 0.5000
Ag1 Ag 0.0000 0.0000 0.5000

--- b ---
# Tl5Ag (PBEsol, optimized geometry)
# Volume ... 312.1 Å³/cell
data_Tl5Ag
_chemical_formula_sum 'Tl10 Ag2'
_space_group_name_H-M_alt 'C 1 m 1'
_space_group_IT_number 8
_cell_length_a 12.048
_cell_length_b 3.445
_cell_length_c 7.944
_cell_angle_alpha 90.00
_cell_angle_beta 108.81
_cell_angle_gamma 90.00
loop_
_space_group_symop_operation_xyz
'x,y,z'
'x,-y,z'
'x+1/2,y+1/2,z'
'x+1/2,-y+1/2,z'
loop_
_atom_site_label
_atom_site_type_symbol
_atom_site_fract_x
_atom_site_fract_y
_atom_site_fract_z
Tl1 Tl 0.000 0.000 0.000
Tl2 Tl 0.006 0.000 0.426
Tl3 Tl 0.154 0.500 0.778
Tl4 Tl 0.300 0.000 0.133
Tl5 Tl 0.340 0.000 0.623
Ag1 Ag 0.177 0.500 0.325

Least stable: a